{"formula": "MgTaIr2", "functional": "meta-GGA SCAN", "state": "PBEsol geometry", "e_above_lowest_polymorph_mev_per_atom": 687.6, "e_tot_ev_per_cell": -214.1, "delta_e_f_ev_per_fu": -0.38, "cell": [[2.7676, 0.0000, 0.0000], [0.0000, 2.7676, 0.0000], [0.0000, 0.0000, 8.2940]], "species": ["Mg", "Ta", "Ir", "Ir"], "fractional_positions": [[0.0000, 0.0000, 0.0000], [0.5000, 0.5000, 0.2976], [0.0000, 0.0000, 0.5425], [0.5000, 0.5000, 0.7664]]}